A plane-wave DFT calculation with PBE was carried out for Y2Ti12Cu9O36 after structural relaxation.

Output
- Final energy: -7.76 eV/atom
- Size of the total moment: 8.93 μB per formula unit

Unit cell a=6.458 b=10.518 c=10.518 alpha=120.00 beta=90.00 gamma=90.00
Element x y z (fractional)
Y (0.170, 0.667, 0.333)
Y (0.830, 0.333, 0.667)
Ti (0.000, 0.000, 0.500)
Ti (0.662, 0.681, 0.843)
Ti (0.338, 0.319, 0.157)
Ti (0.341, 0.333, 0.667)
Ti (0.000, 0.000, 0.000)
Ti (0.659, 0.667, 0.333)
Ti (0.662, 0.161, 0.319)
Ti (0.338, 0.839, 0.681)
Ti (0.000, 0.500, 0.000)
Ti (0.338, 0.843, 0.161)
Ti (0.000, 0.500, 0.500)
Ti (0.662, 0.157, 0.839)
Cu (0.161, 0.663, 0.832)
Cu (0.839, 0.337, 0.168)
Cu (0.500, 0.000, 0.500)
Cu (0.839, 0.832, 0.169)
Cu (0.500, 0.500, 0.500)
Cu (0.161, 0.168, 0.831)
Cu (0.500, 0.500, 0.000)
Cu (0.161, 0.169, 0.337)
Cu (0.839, 0.831, 0.663)
O (0.410, 0.731, 0.956)
O (0.088, 0.411, 0.293)
O (0.750, 0.075, 0.625)
O (0.516, 0.193, 0.509)
O (0.170, 0.852, 0.835)
O (0.855, 0.527, 0.177)
O (0.145, 0.473, 0.823)
O (0.830, 0.148, 0.165)
O (0.484, 0.807, 0.491)
O (0.250, 0.925, 0.375)
O (0.912, 0.589, 0.707)
O (0.590, 0.269, 0.044)
O (0.590, 0.956, 0.225)
O (0.250, 0.625, 0.550)
O (0.912, 0.293, 0.882)
O (0.830, 0.835, 0.984)
O (0.484, 0.509, 0.317)
O (0.145, 0.177, 0.649)
O (0.855, 0.823, 0.351)
O (0.516, 0.491, 0.683)
O (0.170, 0.165, 0.016)
O (0.088, 0.707, 0.118)
O (0.750, 0.375, 0.450)
O (0.410, 0.044, 0.775)
O (0.170, 0.984, 0.148)
O (0.855, 0.649, 0.473)
O (0.516, 0.317, 0.807)
O (0.750, 0.550, 0.925)
O (0.410, 0.225, 0.269)
O (0.088, 0.882, 0.589)
O (0.912, 0.118, 0.411)
O (0.590, 0.775, 0.731)
O (0.250, 0.450, 0.075)
O (0.484, 0.683, 0.193)
O (0.145, 0.351, 0.527)
O (0.830, 0.016, 0.852)

A plane-wave DFT calculation with PBE was carried out for Y2TiCuO6 after structural relaxation.

Output
- Final energy: -8.14 eV/atom
- Size of the total moment: 0.98 μB per formula unit

Unit cell a=3.630 b=3.630 c=11.351 alpha=90.00 beta=90.00 gamma=120.00
Element x y z (fractional)
Y (0.000, 0.000, 0.273)
Y (0.000, 0.000, 0.727)
Ti (0.667, 0.333, 0.000)
Cu (0.333, 0.667, 0.500)
O (0.667, 0.333, 0.165)
O (0.333, 0.667, 0.667)
O (0.000, 0.000, 0.000)
O (0.000, 0.000, 0.500)
O (0.333, 0.667, 0.333)
O (0.667, 0.333, 0.835)

A plane-wave DFT calculation with PBE was carried out for ZrTiCuO5 after structural relaxation.

Output
- Final energy: -8.16 eV/atom
- Size of the total moment: 0.94 μB per formula unit

Unit cell a=3.633 b=6.798 c=14.909 alpha=90.00 beta=90.00 gamma=90.00
Element x y z (fractional)
Zr (0.907, 0.824, 0.904)
Zr (0.593, 0.176, 0.404)
Zr (0.407, 0.676, 0.096)
Zr (0.093, 0.324, 0.596)
Ti (0.385, 0.158, 0.075)
Ti (0.115, 0.842, 0.575)
Ti (0.885, 0.342, 0.925)
Ti (0.615, 0.658, 0.425)
Cu (0.502, 0.085, 0.754)
Cu (0.998, 0.915, 0.254)
Cu (0.002, 0.415, 0.246)
Cu (0.498, 0.585, 0.746)
O (0.414, 0.830, 0.811)
O (0.086, 0.170, 0.311)
O (0.914, 0.670, 0.189)
O (0.586, 0.330, 0.689)
O (0.872, 0.123, 0.852)
O (0.628, 0.877, 0.352)
O (0.372, 0.377, 0.148)
O (0.128, 0.623, 0.648)
O (0.403, 0.883, 0.984)
O (0.097, 0.117, 0.484)
O (0.903, 0.617, 0.016)
O (0.597, 0.383, 0.516)
O (0.885, 0.155, 0.038)
O (0.615, 0.845, 0.538)
O (0.385, 0.345, 0.962)
O (0.115, 0.655, 0.462)
O (0.376, 0.953, 0.159)
O (0.124, 0.047, 0.659)
O (0.876, 0.547, 0.841)
O (0.624, 0.453, 0.341)

> Look up the size of the total moment of the third one.

0.94 μB per formula unit

Copy entry 1 word for word.
A plane-wave DFT calculation with PBE was carried out for Y2Ti12Cu9O36 after structural relaxation.

Output
- Final energy: -7.76 eV/atom
- Size of the total moment: 8.93 μB per formula unit

Unit cell a=6.458 b=10.518 c=10.518 alpha=120.00 beta=90.00 gamma=90.00
Element x y z (fractional)
Y (0.170, 0.667, 0.333)
Y (0.830, 0.333, 0.667)
Ti (0.000, 0.000, 0.500)
Ti (0.662, 0.681, 0.843)
Ti (0.338, 0.319, 0.157)
Ti (0.341, 0.333, 0.667)
Ti (0.000, 0.000, 0.000)
Ti (0.659, 0.667, 0.333)
Ti (0.662, 0.161, 0.319)
Ti (0.338, 0.839, 0.681)
Ti (0.000, 0.500, 0.000)
Ti (0.338, 0.843, 0.161)
Ti (0.000, 0.500, 0.500)
Ti (0.662, 0.157, 0.839)
Cu (0.161, 0.663, 0.832)
Cu (0.839, 0.337, 0.168)
Cu (0.500, 0.000, 0.500)
Cu (0.839, 0.832, 0.169)
Cu (0.500, 0.500, 0.500)
Cu (0.161, 0.168, 0.831)
Cu (0.500, 0.500, 0.000)
Cu (0.161, 0.169, 0.337)
Cu (0.839, 0.831, 0.663)
O (0.410, 0.731, 0.956)
O (0.088, 0.411, 0.293)
O (0.750, 0.075, 0.625)
O (0.516, 0.193, 0.509)
O (0.170, 0.852, 0.835)
O (0.855, 0.527, 0.177)
O (0.145, 0.473, 0.823)
O (0.830, 0.148, 0.165)
O (0.484, 0.807, 0.491)
O (0.250, 0.925, 0.375)
O (0.912, 0.589, 0.707)
O (0.590, 0.269, 0.044)
O (0.590, 0.956, 0.225)
O (0.250, 0.625, 0.550)
O (0.912, 0.293, 0.882)
O (0.830, 0.835, 0.984)
O (0.484, 0.509, 0.317)
O (0.145, 0.177, 0.649)
O (0.855, 0.823, 0.351)
O (0.516, 0.491, 0.683)
O (0.170, 0.165, 0.016)
O (0.088, 0.707, 0.118)
O (0.750, 0.375, 0.450)
O (0.410, 0.044, 0.775)
O (0.170, 0.984, 0.148)
O (0.855, 0.649, 0.473)
O (0.516, 0.317, 0.807)
O (0.750, 0.550, 0.925)
O (0.410, 0.225, 0.269)
O (0.088, 0.882, 0.589)
O (0.912, 0.118, 0.411)
O (0.590, 0.775, 0.731)
O (0.250, 0.450, 0.075)
O (0.484, 0.683, 0.193)
O (0.145, 0.351, 0.527)
O (0.830, 0.016, 0.852)

What did the second record say?
A plane-wave DFT calculation with PBE was carried out for Y2TiCuO6 after structural relaxation.

Output
- Final energy: -8.14 eV/atom
- Size of the total moment: 0.98 μB per formula unit

Unit cell a=3.630 b=3.630 c=11.351 alpha=90.00 beta=90.00 gamma=120.00
Element x y z (fractional)
Y (0.000, 0.000, 0.273)
Y (0.000, 0.000, 0.727)
Ti (0.667, 0.333, 0.000)
Cu (0.333, 0.667, 0.500)
O (0.667, 0.333, 0.165)
O (0.333, 0.667, 0.667)
O (0.000, 0.000, 0.000)
O (0.000, 0.000, 0.500)
O (0.333, 0.667, 0.333)
O (0.667, 0.333, 0.835)

> What is the final energy in the first record?

-7.76 eV/atom